1.
Below is a geometry-optimized MnPb structure, with properties calculated at the PBE level.

Summary:
As for the volume: 183.91 Å³/cell. For the formation energy, the calculation gives 0.5553 eV per atom.

```
data_MnPb
_chemical_formula_sum 'Mn4 Pb4'
_cell_length_a 5.687
_cell_length_b 5.687
_cell_length_c 5.687
_cell_angle_alpha 90.00
_cell_angle_beta 90.00
_cell_angle_gamma 90.00
_space_group_name_H-M_alt 'F m -3 m'
_space_group_IT_number 225
_space_group_name_Hall '-F 4 2 3'
loop_
_atom_site_label
_atom_site_type_symbol
_atom_site_fract_x
_atom_site_fract_y
_atom_site_fract_z
Mn1 Mn 0.000 0.000 0.000
Pb1 Pb 0.000 0.000 0.500
```

2.
Below is a geometry-optimized ErGaHgPt structure, with properties calculated at the PBE level.

Summary:
As for the volume: 320.44 Å³/cell. For the formation energy, the calculation gives -0.5941 eV per atom.

```
data_ErGaHgPt
_chemical_formula_sum 'Er4 Ga4 Hg4 Pt4'
_cell_length_a 6.843
_cell_length_b 6.843
_cell_length_c 6.843
_cell_angle_alpha 90.00
_cell_angle_beta 90.00
_cell_angle_gamma 90.00
_space_group_name_H-M_alt 'F -4 3 m'
_space_group_IT_number 216
_space_group_name_Hall 'F -4 2 3'
loop_
_atom_site_label
_atom_site_type_symbol
_atom_site_fract_x
_atom_site_fract_y
_atom_site_fract_z
Er1 Er 0.000 0.000 0.000
Ga1 Ga 0.000 0.000 0.500
Hg1 Hg 0.250 0.250 0.750
Pt1 Pt 0.250 0.250 0.250
```

Calculated total moment, 13.87 0.00 Bohr magnetons per cell (same order as the records).
Calculated uncorrected energy, -5.884 -4.077 eV per atom (same order as the records).